Record 1
DFT (PBE-GGA) results for a relaxed structure of Th2AgGe4Pt3.

Cell: 4.370 4.370 10.296 Å, 90.00 90.00 90.00°
Space group P-4m2 (No. 115)
One atom of each set of equivalent atoms:
Th: 0.000 0.500 0.249 x2
Ag: 0.000 0.000 0.500 x1
Ge: 0.000 0.000 0.000 x1
Ge: 0.000 0.500 0.637 x2
Ge: 0.500 0.500 0.000 x1
Pt: 0.000 0.500 0.877 x2
Pt: 0.500 0.500 0.500 x1

Computed properties:
energy of formation from the pure elements	-8.0	eV per formula unit

=====

Record 2
DFT (PBE-GGA) results for a relaxed structure of MgScZn5.

Cell: 8.395 5.160 10.757 Å, 90.00 90.00 90.00°
Space group Pnma (No. 62)
One atom of each set of equivalent atoms:
Mg: 0.140 0.250 0.142 x4
Sc: 0.242 0.750 0.937 x4
Zn: 0.045 0.250 0.906 x4
Zn: 0.063 0.509 0.689 x8
Zn: 0.090 0.750 0.481 x4
Zn: 0.198 0.750 0.257 x4

Computed properties:
energy of formation from the pure elements	-1.4	eV per formula unit

=====

Record 3
DFT (PBE-GGA) results for a relaxed structure of BaCeAuO5.

Cell: 9.091 10.911 6.185 Å, 90.00 124.51 90.00°
Space group C2/c (No. 15)
One atom of each set of equivalent atoms:
Ba: 0.000 0.109 0.250 x4
Ce: 0.250 0.250 0.000 x4
Au: 0.000 0.441 0.250 x4
O: 0.000 0.143 0.750 x4
O: 0.159 0.430 0.741 x8
O: 0.162 0.315 0.248 x8

=====

Raw total energy for every record listed, in sequence, given in eV per atom: -6.223 -2.247 -6.375.
N(E_F) for every record listed, in sequence, given in states/eV/f.u.: 4.9 3.3 0.3.